Computed, not measured: a relaxed La4Nd3Se8 crystal at the PBE level of DFT.

a = 8.5653 Å, b = 8.5350 Å, c = 8.5350 Å
α = 89.99°, β = 120.13°, γ = 120.13°
Last column: nearest neighbours and their distance in Å.
Element x y z (fractional)
Nd  0.5000  0.5000  0.5000  6 Se 3.00
Nd  0.5000  0.5000  0.0000  6 Se 3.02
Nd  0.5000  0.0000  0.5000  6 Se 3.02
La  0.0000  0.0000  0.0000  6 Se 3.04-3.05
La  0.0000  0.5000  0.0000  6 Se 3.02
La  0.0000  0.0000  0.5000  6 Se 3.02
La  0.5000  0.0000  0.0000  6 Se 3.03-3.04
Se  0.4938  0.7454  0.7454  3 Nd 3.00-3.02, 2 La 3.04-3.05
Se  0.5062  0.2546  0.2546  3 Nd 3.00-3.02, 2 La 3.04-3.05
Se  0.0000  0.2527  0.7473  2 Nd 3.02, 3 La 3.02-3.05
Se  0.0034  0.2539  0.2539  1 Nd 3.00, 4 La 3.02-3.04
Se  0.9966  0.7461  0.7461  1 Nd 3.00, 4 La 3.02-3.04
Se  0.5000  0.7486  0.2514  3 Nd 3.00-3.02, 3 La 3.02-3.03
Se  0.0000  0.7473  0.2527  2 Nd 3.02, 3 La 3.02-3.05
Se  0.5000  0.2514  0.7486  3 Nd 3.00-3.02, 3 La 3.02-3.03

Values from the calculation:
Excess energy over the best structure of this formula in the dataset ... 0 meV per atom

Computed, not measured: a relaxed LaNd2Se4 crystal at the PBE level of DFT.

a = 8.5802 Å, b = 8.4895 Å, c = 8.4895 Å
α = 60.41°, β = 59.65°, γ = 59.65°
Last column: nearest neighbours and their distance in Å.
Element x y z (fractional)
Nd  0.0000  0.0000  0.0000  6 Se 2.97-3.00
Nd  0.5000  0.0000  0.5000  6 Se 2.96-3.01
Nd  0.0000  0.0000  0.5000  6 Se 2.96-3.01
Nd  0.0000  0.5000  0.5000  6 Se 2.97-3.00
La  0.5000  0.5000  0.0000  6 Se 2.99-3.05
La  0.0000  0.5000  0.0000  6 Se 2.99-3.05
Se  0.7603  0.2486  0.7486  3 Nd 2.96-2.97, 1 La 2.99
Se  0.7480  0.2489  0.2552  3 Nd 3.00-3.01, 2 La 3.05
Se  0.2520  0.2448  0.2511  3 Nd 3.00-3.01, 2 La 3.05
Se  0.2520  0.7511  0.7448  3 Nd 3.00-3.01, 2 La 3.05
Se  0.2424  0.2486  0.7486  3 Nd 2.96-2.97, 1 La 2.99
Se  0.7576  0.7514  0.2514  3 Nd 2.96-2.97, 1 La 2.99
Se  0.7480  0.7552  0.7489  3 Nd 3.00-3.01, 2 La 3.05
Se  0.2397  0.7514  0.2514  3 Nd 2.96-2.97, 1 La 2.99

Values from the calculation:
Excess energy over the best structure of this formula in the dataset ... 4 meV per atom

Computed, not measured: a relaxed LaNd3Se4 crystal at the PBE level of DFT.

a = 7.3913 Å, b = 7.3886 Å, c = 8.4302 Å
α = 90.00°, β = 90.00°, γ = 109.25°
Last column: nearest neighbours and their distance in Å.
Element x y z (fractional)
Nd  0.7500  0.5000  0.6244  6 Se 2.98-3.01
Nd  0.7500  0.0000  0.3755  6 Se 3.00-3.01
Nd  0.2500  0.5000  0.8741  6 Se 3.00-3.01
Nd  0.2500  0.0000  0.6245  6 Se 3.00-3.01
Nd  0.7500  0.5000  0.1259  6 Se 3.00-3.01
Nd  0.2500  0.5000  0.3756  6 Se 2.98-3.01
Se  0.4985  0.7485  0.6234  5 Nd 2.98-3.01, 1 La 3.02
Se  0.9998  0.7468  0.8736  4 Nd 2.99-3.01, 2 La 3.03
Se  0.4998  0.7468  0.1264  4 Nd 2.99-3.01, 2 La 3.03
Se  0.5015  0.2515  0.3766  5 Nd 2.98-3.01, 1 La 3.02
Se  0.0002  0.2532  0.1264  4 Nd 2.99-3.01, 2 La 3.03
Se  0.9985  0.7485  0.3766  5 Nd 2.98-3.01, 1 La 3.02
Se  0.0015  0.2515  0.6234  5 Nd 2.98-3.01, 1 La 3.02
Se  0.5002  0.2532  0.8736  4 Nd 2.99-3.01, 2 La 3.03
La  0.7500  0.0000  0.8742  6 Se 3.02-3.03
La  0.2500  0.0000  0.1258  6 Se 3.02-3.03

Values from the calculation:
Excess energy over the best structure of this formula in the dataset ... 0 meV per atom

Computed, not measured: a relaxed LaNd2Se4 crystal at the PBE level of DFT.

a = 4.1618 Å, b = 7.2912 Å, c = 14.1771 Å
α = 90.00°, β = 90.00°, γ = 106.58°
Last column: nearest neighbours and their distance in Å.
Element x y z (fractional)
Se  0.9677  0.9354  0.7500  2 Nd 2.93, 2 La 3.01
Se  0.0323  0.0646  0.2500  2 Nd 2.93, 2 La 3.01
Se  0.2248  0.4496  0.8768  3 Nd 3.01, 2 La 3.10
Se  0.7752  0.5504  0.1232  3 Nd 3.01, 2 La 3.10
Se  0.7752  0.5504  0.3768  3 Nd 3.01, 2 La 3.10
Se  0.5000  0.0000  0.5000  4 Nd 2.93
Se  0.5000  0.0000  0.0000  4 Nd 2.93
Se  0.2248  0.4496  0.6232  3 Nd 3.01, 2 La 3.10
Nd  0.1304  0.2608  0.4323  6 Se 2.93-3.01
Nd  0.8696  0.7392  0.5677  6 Se 2.93-3.01
Nd  0.1304  0.2608  0.0677  6 Se 2.93-3.01
Nd  0.8696  0.7392  0.9323  6 Se 2.93-3.01
La  0.3770  0.7539  0.2500  6 Se 3.01-3.10
La  0.6230  0.2461  0.7500  6 Se 3.01-3.10

Values from the calculation:
Excess energy over the best structure of this formula in the dataset ... 0 meV per atom

Computed, not measured: a relaxed La4Nd3Se8 crystal at the PBE level of DFT.

a = 8.3722 Å, b = 8.3722 Å, c = 9.2237 Å
α = 63.01°, β = 63.01°, γ = 60.00°
Last column: nearest neighbours and their distance in Å.
Element x y z (fractional)
La  0.6471  0.6471  0.0588  4 Se 2.83-2.92
La  0.3529  0.3529  0.9412  4 Se 2.83-2.92
La  0.5000  0.5000  0.5000  6 Se 3.11, 2 La 3.47
La  0.0000  0.0000  0.0000  6 Se 3.12
Nd  0.5000  0.0000  0.5000  6 Se 2.88-3.06
Nd  0.0000  0.0000  0.5000  6 Se 2.88-3.06
Nd  0.0000  0.5000  0.5000  6 Se 2.88-3.06
Se  0.2493  0.7596  0.7419  3 La 2.92-3.12, 2 Nd 3.06
Se  0.2404  0.7507  0.2581  3 La 2.92-3.12, 2 Nd 3.06
Se  0.7507  0.2404  0.2581  3 La 2.92-3.12, 2 Nd 3.06
Se  0.2329  0.2329  0.3013  1 La 2.83, 3 Nd 2.88
Se  0.2493  0.2493  0.7419  3 La 2.92-3.12, 2 Nd 3.06
Se  0.7507  0.7507  0.2581  3 La 2.92-3.12, 2 Nd 3.06
Se  0.7671  0.7671  0.6987  1 La 2.83, 3 Nd 2.88
Se  0.7596  0.2493  0.7419  3 La 2.92-3.12, 2 Nd 3.06

Values from the calculation:
Excess energy over the best structure of this formula in the dataset ... 229 meV per atom

Computed, not measured: a relaxed LaNd2Se3 crystal at the PBE level of DFT.

a = 4.2672 Å, b = 6.0179 Å, c = 7.3692 Å
α = 114.10°, β = 106.83°, γ = 90.00°
Last column: nearest neighbours and their distance in Å.
Element x y z (fractional)
Nd  0.8325  0.8325  0.1650  6 Se 2.99-3.02
Nd  0.1675  0.1675  0.8350  6 Se 2.99-3.02
Se  0.5000  0.0000  0.5000  2 La 3.01, 4 Nd 3.02
Se  0.1686  0.6686  0.8371  4 Nd 2.99-3.01, 2 La 3.03
Se  0.8314  0.3314  0.1629  4 Nd 2.99-3.01, 2 La 3.03
La  0.5000  0.5000  0.5000  6 Se 3.01-3.03

| no. | ΔE_f (raw) (eV per atom) |
| --- | --- |
| 1 | -1.944 |
| 2 | -1.919 |
| 3 | -1.883 |
| 4 | -1.922 |
| 5 | -1.715 |
| 6 | -1.893 |